Entry 1:
Computed, not measured: Rb2MnSnSe4 after structural relaxation at the PBE-GGA level of DFT.

a b c (Å): 6.3589 14.6233 24.0465
angles (deg): 90.00 90.00 90.00
Last column: nearest neighbours and their distance in Å.
Space group Fddd (No. 70, origin choice 2)
Inequivalent atoms, fractional coordinates:
Rb  0.1250  0.1250  0.3075  8 Se 3.67-3.89
Mn  0.1250  0.1250  0.6250  4 Se 2.58
Sn  0.1250  0.1250  0.1250  4 Se 2.56
Se  0.1225  0.2762  0.4337  1 Sn 2.56, 1 Mn 2.58

- Formation energy without anion corrections: -18.4 kcal/mol of atoms

***

Entry 2:
Computed, not measured: SrMoOs2 after structural relaxation at the PBE-GGA level of DFT.

a b c (Å): 3.2072 4.6957 9.4169
angles (deg): 90.00 90.00 90.00
Last column: nearest neighbours and their distance in Å.
Space group Cmmm (No. 65)
Inequivalent atoms, fractional coordinates:
Sr  0.0000  0.0000  0.0000  4 Sr 2.84, 4 Os 3.10
Mo  0.0000  0.0000  0.5000  4 Os 2.61, 4 Mo 2.84
Os  0.0000  0.5000  0.2814  2 Mo 2.61, 4 Os 2.84

- DOS at the Fermi energy: 3.4 states/eV/f.u.
- Energy above the lowest structure with this stoichiometry: 291 meV per atom
- DFT formation energy: 798 meV per atom

***

Entry 3:
Computed, not measured: Ac6PmNd2 after structural relaxation at the PBE-GGA level of DFT.

a b c (Å): 9.3654 16.9861 9.8494
angles (deg): 90.00 102.51 90.00
Last column: nearest neighbours and their distance in Å.
Space group C2/c (No. 15)
Inequivalent atoms, fractional coordinates:
Ac  0.0617  0.2201  0.4457  5 Ac 3.60-3.98, 3 Nd 3.69-3.95, 1 Pm 3.78
Ac  0.1592  0.4547  0.4231  2 Nd 3.59-3.64, 5 Ac 3.73-4.01, 1 Pm 4.02
Ac  0.2181  0.1511  0.8629  2 Nd 3.67-3.73, 1 Pm 3.69, 4 Ac 3.73-3.98
Pm  0.0000  0.0274  0.2500  2 Nd 3.62, 6 Ac 3.69-4.02
Nd  0.1744  0.3573  0.7498  1 Nd 3.27, 2 Ac 3.59-3.64, 1 Pm 3.62

- DOS at the Fermi energy: 14.6 states/eV/f.u.
- Energy above the lowest structure with this stoichiometry: 0 meV per atom
- DFT formation energy: 155 meV per atom

***

Entry 4:
Computed, not measured: Y3MnAg after structural relaxation at the PBE-GGA level of DFT.

a b c (Å): 5.1837 5.1837 5.1837
angles (deg): 90.00 90.00 90.00
Last column: nearest neighbours and their distance in Å.
Space group Pm-3m (No. 221)
Inequivalent atoms, fractional coordinates:
Y  0.0000  0.0000  0.5000  2 Mn 2.59
Mn  0.0000  0.0000  0.0000  6 Y 2.59
Ag  0.5000  0.5000  0.5000  12 Y 3.67

- DOS at the Fermi energy: 4.2 states/eV/f.u.
- Energy above the lowest structure with this stoichiometry: 0 meV per atom
- DFT formation energy: 239 meV per atom

***

Entry 5:
Computed, not measured: Sb2RhPb after structural relaxation at the PBE-GGA level of DFT.

a b c (Å): 3.6040 3.6040 27.0364
angles (deg): 90.00 90.00 120.00
Last column: nearest neighbours and their distance in Å.
Space group R-3m (No. 166, hexagonal axes)
Inequivalent atoms, fractional coordinates:
Sb  0.0000  0.0000  0.2292  3 Rh 2.68
Rh  0.0000  0.0000  0.5000  6 Sb 2.68
Pb  0.0000  0.0000  0.0000  6 Sb 3.50, 6 Pb 3.60

- DOS at the Fermi energy: 2.1 states/eV/f.u.
- Formation energy without anion corrections: -3.0 kcal/mol of atoms

***

Entry 6:
Computed, not measured: YSc2Tl after structural relaxation at the PBE-GGA level of DFT.

a b c (Å): 8.3664 8.3664 6.3083
angles (deg): 90.00 90.00 90.00
Last column: nearest neighbours and their distance in Å.
Space group I-42d (No. 122)
Inequivalent atoms, fractional coordinates:
Y  0.0000  0.0000  0.0000  2 Tl 3.15, 4 Sc 3.26
Sc  0.2156  0.2500  0.6250  2 Tl 2.87, 2 Sc 3.21
Tl  0.0000  0.0000  0.5000  4 Sc 2.87, 2 Y 3.15

- DOS at the Fermi energy: 7.1 states/eV/f.u.
- Energy above the lowest structure with this stoichiometry: 337 meV per atom
- DFT formation energy: 137 meV per atom

***

What did the fourth record say?
Computed, not measured: Y3MnAg after structural relaxation at the PBE-GGA level of DFT.

a b c (Å): 5.1837 5.1837 5.1837
angles (deg): 90.00 90.00 90.00
Last column: nearest neighbours and their distance in Å.
Space group Pm-3m (No. 221)
Inequivalent atoms, fractional coordinates:
Y  0.0000  0.0000  0.5000  2 Mn 2.59
Mn  0.0000  0.0000  0.0000  6 Y 2.59
Ag  0.5000  0.5000  0.5000  12 Y 3.67

- DOS at the Fermi energy: 4.2 states/eV/f.u.
- Energy above the lowest structure with this stoichiometry: 0 meV per atom
- DFT formation energy: 239 meV per atom